[1]
Material: NaSr3Ca3
Method: DFT, PBE-GGA
State: optimized geometry

a = 6.5629 Å, b = 10.8266 Å, c = 11.0878 Å
α = 123.14°, β = 90.00°, γ = 90.00°
With the nearest neighbours (Å) after each atom.
Sites, in units of the cell vectors:
Ca1 0.2500 0.9327 0.7577  6 Ca 3.92-4.11, 4 Sr 3.95-3.99, 1 Na 4.04
Ca2 0.7500 0.0673 0.2424  6 Ca 3.92-4.11, 4 Sr 3.95-3.99, 1 Na 4.04
Ca3 0.2500 0.8102 0.0311  6 Ca 3.84-4.11, 5 Sr 3.85-4.25
Ca4 0.7500 0.7771 0.8256  6 Ca 3.84-3.95, 1 Na 3.99, 5 Sr 4.09-4.19
Ca5 0.7500 0.1898 0.9689  6 Ca 3.84-4.11, 5 Sr 3.85-4.25
Ca6 0.2500 0.2229 0.1744  6 Ca 3.84-3.95, 1 Na 3.99, 5 Sr 4.09-4.19
Sr1 0.2500 0.0648 0.4451  4 Ca 3.85-4.19, 3 Na 3.90-4.26, 4 Sr 4.01-4.19
Sr2 0.2500 0.3583 0.8933  5 Ca 3.99-4.25, 3 Na 4.04-4.05, 4 Sr 4.19-4.22
Sr3 0.7500 0.6417 0.1067  5 Ca 3.99-4.25, 3 Na 4.04-4.05, 4 Sr 4.19-4.22
Sr4 0.2500 0.5085 0.6128  3 Na 3.95-4.25, 5 Ca 3.95-4.16, 4 Sr 4.07-4.22
Sr5 0.7500 0.4915 0.3872  3 Na 3.95-4.25, 5 Ca 3.95-4.16, 4 Sr 4.07-4.22
Sr6 0.7500 0.9352 0.5549  4 Ca 3.85-4.19, 3 Na 3.90-4.26, 4 Sr 4.01-4.19
Na1 0.7500 0.3478 0.6750  9 Sr 3.90-4.26, 2 Ca 3.99-4.04
Na2 0.2500 0.6522 0.3250  9 Sr 3.90-4.26, 2 Ca 3.99-4.04

Results
Energy of formation = 0.036 eV per atom



[2]
Material: Ho2ZnI
Method: DFT, PBE-GGA
State: optimized geometry

a = 4.0668 Å, b = 4.0668 Å, c = 8.1317 Å
α = 75.52°, β = 75.52°, γ = 60.00°
With the nearest neighbours (Å) after each atom.
Sites, in units of the cell vectors:
Ho1 0.2638 0.2638 0.2085  3 Zn 2.85
Ho2 0.7362 0.7362 0.7915  3 Zn 2.85
I1 0.5000 0.5000 0.5000  6 Ho 3.27
Zn1 0.0000 0.0000 0.0000  6 Ho 2.85

Results
E = -3.472 eV per atom